## LaGa3Te (GGA-PBEsol)

Data for a geometry-optimized LaGa3Te structure.

Structure (POSCAR):
```
LaGa3Te
1.0
5.615 0.000 0.000
0.000 5.615 0.000
0.000 0.000 5.615
La Ga Te
1 3 1
direct
0.000 0.000 0.000
0.000 0.000 0.500
0.000 0.500 0.000
0.500 0.000 0.000
0.500 0.500 0.500
```

Output
- energy relative to the elements, uncorrected (eV per atom) = 0.78

***

## La2TlGa (GGA-PBEsol)

Data for a geometry-optimized La2TlGa structure.

Structure (POSCAR):
```
La2TlGa
1.0
0.000 3.821 3.821
3.821 0.000 3.821
3.821 3.821 0.000
La Tl Ga
2 1 1
direct
0.250 0.250 0.250
0.750 0.750 0.750
0.000 0.000 0.000
0.500 0.500 0.500
```

Output
- calculated formation energy (eV per atom) = -0.4870

***

## LaTlGa2 (GGA-PBEsol)

Data for a geometry-optimized LaTlGa2 structure.

Structure (POSCAR):
```
LaTlGa2
1.0
0.000 3.595 3.595
3.595 0.000 3.595
3.595 3.595 0.000
La Tl Ga
1 1 2
direct
0.000 0.000 0.000
0.500 0.500 0.500
0.250 0.250 0.250
0.750 0.750 0.750
```

Output
- calculated formation energy (eV per atom) = -0.3115

***

## LaTlGa3 (GGA-PBEsol)

Data for a geometry-optimized LaTlGa3 structure.

Structure (POSCAR):
```
LaTlGa3
1.0
5.591 0.000 0.000
0.000 5.591 0.000
0.000 0.000 5.591
La Tl Ga
1 1 3
direct
0.000 0.000 0.000
0.500 0.500 0.500
0.000 0.000 0.500
0.000 0.500 0.000
0.500 0.000 0.000
```

Output
- calculated formation energy (eV per atom) = 0.7170

***

## La2TlGa2 (GGA-PBEsol)

Data for a geometry-optimized La2TlGa2 structure.

Structure (POSCAR):
```
La2TlGa2
1.0
7.463 0.000 0.000
0.000 7.463 0.000
0.000 0.000 4.599
La Tl Ga
4 2 4
direct
0.174 0.326 0.000
0.326 0.826 0.000
0.674 0.174 0.000
0.826 0.674 0.000
0.000 0.000 0.500
0.500 0.500 0.500
0.122 0.622 0.500
0.378 0.122 0.500
0.622 0.878 0.500
0.878 0.378 0.500
```

Output
- calculated formation energy (eV per atom) = -0.5663

***

## LaTlGaW2 (GGA-PBEsol)

Data for a geometry-optimized LaTlGaW2 structure.

Structure (POSCAR):
```
LaTlGaW2
1.0
5.113 0.000 0.000
0.000 5.113 0.000
0.000 0.000 4.893
La Tl Ga W
1 1 1 2
direct
0.000 0.000 0.000
0.500 0.500 0.500
0.500 0.500 0.000
0.000 0.500 0.500
0.500 0.000 0.500
```

Output
- calculated formation energy (eV per atom) = 1.9559

***

## LaZnGa (GGA-PBEsol)

Data for a geometry-optimized LaZnGa structure.

Structure (POSCAR):
```
LaZnGa
1.0
4.479 0.000 0.000
-2.239 3.879 0.000
0.000 0.000 7.725
La Zn Ga
2 2 2
direct
0.000 0.000 0.000
0.000 0.000 0.500
0.333 0.667 0.250
0.667 0.333 0.750
0.333 0.667 0.750
0.667 0.333 0.250
```

Output
- calculated formation energy (eV per atom) = -0.5318

***

## La2Zn2Ga (GGA-PBEsol)

Data for a geometry-optimized La2Zn2Ga structure.

Structure (POSCAR):
```
La2Zn2Ga
1.0
-1.782 1.782 9.474
1.782 -1.782 9.474
1.782 1.782 -9.474
La Zn Ga
2 2 1
direct
0.102 0.102 0.000
0.898 0.898 0.000
0.250 0.750 0.500
0.750 0.250 0.500
0.500 0.500 0.000
```

Output
- offset from the most stable computed form (kJ/mol of formula units) = 74.7
- calculated formation energy (eV per atom) = -0.2178

***

## La2Zn2Ga (GGA-PBEsol)

Data for a geometry-optimized La2Zn2Ga structure.

Structure (POSCAR):
```
La2Zn2Ga
1.0
6.936 0.000 0.000
0.000 6.936 0.000
0.000 0.000 4.734
La Zn Ga
4 4 2
direct
0.174 0.326 0.000
0.326 0.826 0.000
0.674 0.174 0.000
0.826 0.674 0.000
0.130 0.630 0.500
0.370 0.130 0.500
0.630 0.870 0.500
0.870 0.370 0.500
0.000 0.000 0.500
0.500 0.500 0.500
```

Output
- offset from the most stable computed form (kJ/mol of formula units) = 0.0
- calculated formation energy (eV per atom) = -0.3726

***

## Li5Ga4 (GGA-PBEsol)

Data for a geometry-optimized Li5Ga4 structure.

Structure (POSCAR):
```
Li5Ga4
1.0
4.309 0.000 0.000
-2.154 3.731 0.000
0.000 0.000 8.152
Li Ga
5 4
direct
0.000 0.000 0.000
0.333 0.667 0.119
0.333 0.667 0.447
0.667 0.333 0.553
0.667 0.333 0.881
0.000 0.000 0.333
0.000 0.000 0.667
0.333 0.667 0.779
0.667 0.333 0.221
```

Output
- calculated formation energy (eV per atom) = -0.3544

***

## LiGa3 (GGA-PBEsol)

Data for a geometry-optimized LiGa3 structure.

Structure (POSCAR):
```
LiGa3
1.0
3.995 0.000 0.000
0.000 3.995 0.000
0.000 0.000 3.995
Li Ga
1 3
direct
0.000 0.000 0.000
0.000 0.500 0.500
0.500 0.000 0.500
0.500 0.500 0.000
```

Output
- calculated formation energy (eV per atom) = -0.2107

***

## Li3Ga (GGA-PBEsol)

Data for a geometry-optimized Li3Ga structure.

Structure (POSCAR):
```
Li3Ga
1.0
0.000 3.136 3.136
3.136 0.000 3.136
3.136 3.136 0.000
Li Ga
3 1
direct
0.000 0.000 0.000
0.250 0.250 0.250
0.750 0.750 0.750
0.500 0.500 0.500
```

Output
- offset from the most stable computed form (kJ/mol of formula units) = 0.0
- calculated formation energy (eV per atom) = -0.2127

***

> Which formula does entry 2 have?

La2TlGa